Record 1
A geometry-optimized MgScMo structure, computed with GGA-PBE.

Structure (POSCAR):
```
MgScMo
1.0
3.222 0.000 0.000
0.000 3.227 0.000
-0.023 0.000 11.797
Mg Sc Mo
2 2 2
Direct
0.249 0.250 0.409 Mg
0.751 0.750 0.591 Mg
0.251 0.250 0.789 Sc
0.749 0.750 0.211 Sc
0.250 0.250 0.059 Mo
0.750 0.750 0.941 Mo
```

Polymorph energy (0 for the lowest one), eV/atom: 0.000
Magnetic moment, Bohr magnetons per cell: 0.0
Density of states at the Fermi level, states/eV per cell: 5.632

Record 2
A geometry-optimized BaTbAgO3 structure, computed with GGA-PBE.

Structure (POSCAR):
```
BaTbAgO3
1.0
6.981 0.000 0.000
0.000 3.666 0.000
-2.348 0.000 9.067
Ba Tb Ag O
2 2 2 6
Direct
0.041 0.250 0.308 Ba
0.959 0.750 0.692 Ba
0.462 0.250 0.657 Tb
0.538 0.750 0.343 Tb
0.315 0.250 0.997 Ag
0.685 0.750 0.003 Ag
0.216 0.250 0.769 O
0.309 0.750 0.497 O
0.369 0.250 0.225 O
0.631 0.750 0.775 O
0.691 0.250 0.503 O
0.784 0.750 0.231 O
```

ΔE_f (raw), eV per atom: -2.333
Magnetic moment, Bohr magnetons per cell: 0.0
Density of states at the Fermi level, states/eV per cell: 0.000

Record 3
A geometry-optimized Ba2LiPtO structure, computed with GGA-PBE.

Structure (POSCAR):
```
Ba2LiPtO
1.0
5.478 0.000 0.000
0.000 5.478 0.000
0.000 0.000 4.034
Ba Li Pt O
2 1 1 1
Direct
0.000 0.500 0.000 Ba
0.500 0.000 0.000 Ba
0.000 0.000 0.500 Li
0.500 0.500 0.500 Pt
0.000 0.000 0.000 O
```

ΔE_f (raw), eV per atom: -1.279
Magnetic moment, Bohr magnetons per cell: 0.0
Density of states at the Fermi level, states/eV per cell: 1.476

Record 4
A geometry-optimized RbHfS2O8 structure, computed with GGA-PBE.

Structure (POSCAR):
```
RbHfS2O8
1.0
5.335 0.000 0.000
-2.667 4.620 0.000
0.000 0.000 8.290
Rb Hf S O
1 1 2 8
Direct
0.000 0.000 0.000 Rb
0.000 0.000 0.500 Hf
0.333 0.667 0.280 S
0.667 0.333 0.720 S
0.181 0.362 0.342 O
0.181 0.819 0.342 O
0.333 0.667 0.104 O
0.362 0.181 0.658 O
0.638 0.819 0.342 O
0.667 0.333 0.896 O
0.819 0.181 0.658 O
0.819 0.638 0.658 O
```

ΔE_f (raw), eV per atom: -1.829
Magnetic moment, Bohr magnetons per cell: 0.9
Density of states at the Fermi level, states/eV per cell: 2.993

Record 5
A geometry-optimized RbHg2Ge2 structure, computed with GGA-PBE.

Structure (POSCAR):
```
RbHg2Ge2
1.0
-2.495 2.495 5.482
2.495 -2.495 5.482
2.495 2.495 -5.482
Rb Hg Ge
1 2 2
Direct
0.000 0.000 0.000 Rb
0.250 0.750 0.500 Hg
0.750 0.250 0.500 Hg
0.385 0.385 0.000 Ge
0.615 0.615 0.000 Ge
```

Polymorph energy (0 for the lowest one), eV/atom: 0.000
Magnetic moment, Bohr magnetons per cell: 0.0
Density of states at the Fermi level, states/eV per cell: 1.713

Record 6
A geometry-optimized Ca2TmPd4 structure, computed with GGA-PBE.

Structure (POSCAR):
```
Ca2TmPd4
1.0
0.000 4.172 5.694
3.192 0.000 5.694
3.192 4.172 0.000
Ca Tm Pd
2 1 4
Direct
0.194 0.194 0.806 Ca
0.806 0.806 0.194 Ca
0.500 0.500 0.500 Tm
0.122 0.122 0.378 Pd
0.378 0.378 0.122 Pd
0.622 0.622 0.878 Pd
0.878 0.878 0.622 Pd
```

Raw total energy, eV per atom: -4.7507
Magnetic moment, Bohr magnetons per cell: 0.0
Density of states at the Fermi level, states/eV per cell: 2.578

Question: Look up the density of states at the Fermi level of the first one.
Answer: 5.632 states/eV per cell

Question: Which formula does entry 1 have?
Answer: MgScMo